DFT (PBE) results for crystalline KCoRu at its relaxed geometry.

Cell lengths 2.6624, 3.7174, 12.1668 Å; angles 90.00, 90.00, 90.00 degrees
Closest atoms and distances in Å follow each position.
Space group Imm2 (No. 44)
Asymmetric unit:
1 K 0.0000 0.0000 0.0000 (multiplicity 2)  2 K 2.66
2 Co 0.0000 0.0000 0.7145 (multiplicity 2)  4 Ru 2.42, 2 Co 2.66
3 Ru 0.0000 0.0000 0.2796 (multiplicity 2)  4 Co 2.42, 2 Ru 2.66

Calculated values
Formation enthalpy at 0 K: 0.740 eV per atom
Density: 5.49 Mg/m³
Total magnetization: 1.432 μB per cell
Total energy: -5.087 eV per atom
Offset from the most stable computed form: 150 meV per atom

---

DFT (PBE) results for crystalline KCoRu2 at its relaxed geometry.

Cell lengths 2.6361, 4.8673, 10.2592 Å; angles 90.00, 90.00, 90.00 degrees
Closest atoms and distances in Å follow each position.
Space group Immm (No. 71)
Asymmetric unit:
1 K 0.0000 0.0000 0.0000 (multiplicity 2)  2 K 2.64, 4 Co 2.77
2 Co 0.0000 0.0000 0.5000 (multiplicity 2)  4 Ru 2.53, 2 Co 2.64, 4 K 2.77
3 Ru 0.0000 0.5000 0.2108 (multiplicity 4)  2 Co 2.53, 2 Ru 2.64

Calculated values
Formation enthalpy at 0 K: 0.957 eV per atom
Density: 7.57 Mg/m³
Total magnetization: 2.815 μB per cell
Total energy: -5.732 eV per atom
Offset from the most stable computed form: 239 meV per atom